# EuTaPd2 (PBE, relaxed)
data_EuTaPd2
_space_group_name_H-M_alt 'P 4/m m m'
_space_group_IT_number 123
_space_group_name_Hall '-P 4 2'
_cell_length_a 3.315
_cell_length_b 3.315
_cell_length_c 7.408
_cell_angle_alpha 90.00
_cell_angle_beta 90.00
_cell_angle_gamma 90.00
loop_
_atom_site_label
_atom_site_fract_x
_atom_site_fract_y
_atom_site_fract_z
Eu1 0.000 0.000 0.000
Ta1 0.000 0.000 0.500
Pd1 0.500 0.500 0.307
# Fermi-level density of states (states/eV per cell): 6.4



# Ho2CdCu (PBE, relaxed)
data_Ho2CdCu
_space_group_name_H-M_alt 'F m -3 m'
_space_group_IT_number 225
_space_group_name_Hall '-F 4 2 3'
_cell_length_a 7.204
_cell_length_b 7.204
_cell_length_c 7.204
_cell_angle_alpha 90.00
_cell_angle_beta 90.00
_cell_angle_gamma 90.00
loop_
_atom_site_label
_atom_site_fract_x
_atom_site_fract_y
_atom_site_fract_z
Ho1 0.250 0.250 0.250
Cd1 0.000 0.000 0.000
Cu1 0.000 0.000 0.500
# Relative energy among the computed polymorphs (meV/atom): 47.2
# Fermi-level density of states (states/eV per cell): 12.2



no.,VASP energy (eV/cell)
1,-33.8
2,-60.4